Entry 1:
Entry from Alexandria via LeMat-Bulk: La2SbPt after structural relaxation (GGA-PBE).

Cell lengths 7.423, 7.423, 7.423 Å; angles 90.00, 90.00, 90.00 degrees
Fractional positions:
La  0.000  0.000  0.000
La  0.000  0.500  0.500
La  0.250  0.250  0.250
La  0.250  0.750  0.750
La  0.500  0.000  0.500
La  0.500  0.500  0.000
La  0.750  0.250  0.750
La  0.750  0.750  0.250
Sb  0.000  0.000  0.500
Sb  0.000  0.500  0.000
Sb  0.500  0.000  0.000
Sb  0.500  0.500  0.500
Pt  0.250  0.250  0.750
Pt  0.250  0.750  0.250
Pt  0.750  0.250  0.250
Pt  0.750  0.750  0.750

Calculated values
space group	F-43m
formation energy from raw total energies	-0.495	eV per atom
total magnetic moment	0.00	Bohr magnetons per cell

=====

Entry 2:
Entry from Alexandria via LeMat-Bulk: La2SbPt after structural relaxation (GGA-PBE).

Cell lengths 4.462, 4.462, 6.367 Å; angles 90.00, 90.00, 90.00 degrees
Fractional positions:
La  0.000  0.000  0.000
La  0.500  0.500  0.480
Sb  0.500  0.500  0.979
Pt  0.000  0.000  0.479

Calculated values
space group	P4mm
formation energy from raw total energies	-1.023	eV per atom
total magnetic moment	0.00	Bohr magnetons per cell

=====

Entry 3:
Entry from Alexandria via LeMat-Bulk: LaSb2Pt after structural relaxation (GGA-PBE).

Cell lengths 4.092, 4.832, 10.160 Å; angles 90.00, 90.00, 90.00 degrees
Fractional positions:
La  0.000  0.000  0.000
La  0.500  0.500  0.500
Sb  0.000  0.000  0.460
Sb  0.000  0.500  0.233
Sb  0.500  0.000  0.733
Sb  0.500  0.500  0.960
Pt  0.000  0.500  0.776
Pt  0.500  0.000  0.276

Calculated values
space group	Imm2
formation energy from raw total energies	-0.645	eV per atom
total magnetic moment	0.00	Bohr magnetons per cell

=====

Entry 4:
Entry from Alexandria via LeMat-Bulk: LaSb2Pt after structural relaxation (GGA-PBE).

Cell lengths 6.021, 6.385, 11.151 Å; angles 90.00, 90.00, 90.00 degrees
Fractional positions:
La  0.000  0.000  0.000
La  0.000  0.500  0.500
La  0.500  0.000  0.500
La  0.500  0.500  0.000
Sb  0.000  0.250  0.250
Sb  0.000  0.250  0.750
Sb  0.000  0.750  0.250
Sb  0.000  0.750  0.750
Sb  0.500  0.250  0.250
Sb  0.500  0.250  0.750
Sb  0.500  0.750  0.250
Sb  0.500  0.750  0.750
Pt  0.000  0.000  0.500
Pt  0.000  0.500  0.000
Pt  0.500  0.000  0.000
Pt  0.500  0.500  0.500

Calculated values
space group	Fmmm
formation energy from raw total energies	-0.565	eV per atom
total magnetic moment	0.00	Bohr magnetons per cell

=====

Entry 5:
Entry from Alexandria via LeMat-Bulk: La2SbPt after structural relaxation (GGA-PBE).

Cell lengths 8.061, 8.061, 7.884 Å; angles 90.00, 90.00, 90.00 degrees
Fractional positions:
La  0.217  0.750  0.125
La  0.250  0.217  0.875
La  0.250  0.283  0.375
La  0.283  0.750  0.625
La  0.717  0.250  0.625
La  0.750  0.717  0.375
La  0.750  0.783  0.875
La  0.783  0.250  0.125
Sb  0.000  0.000  0.500
Sb  0.000  0.500  0.750
Sb  0.500  0.000  0.250
Sb  0.500  0.500  0.000
Pt  0.000  0.000  0.000
Pt  0.000  0.500  0.250
Pt  0.500  0.000  0.750
Pt  0.500  0.500  0.500

Calculated values
space group	I-42d
formation energy from raw total energies	-0.864	eV per atom
total magnetic moment	0.00	Bohr magnetons per cell

=====

Entry 6:
Entry from Alexandria via LeMat-Bulk: LaSbPt2 after structural relaxation (GGA-PBE).

Cell lengths 7.033, 7.033, 7.033 Å; angles 90.00, 90.00, 90.00 degrees
Fractional positions:
La  0.000  0.000  0.000
La  0.000  0.500  0.500
La  0.500  0.000  0.500
La  0.500  0.500  0.000
Sb  0.250  0.250  0.250
Sb  0.250  0.750  0.750
Sb  0.750  0.250  0.750
Sb  0.750  0.750  0.250
Pt  0.000  0.000  0.500
Pt  0.000  0.500  0.000
Pt  0.250  0.250  0.750
Pt  0.250  0.750  0.250
Pt  0.500  0.000  0.000
Pt  0.500  0.500  0.500
Pt  0.750  0.250  0.250
Pt  0.750  0.750  0.750

Calculated values
space group	F-43m
formation energy from raw total energies	-0.516	eV per atom
total magnetic moment	0.00	Bohr magnetons per cell

=====

Entry 7:
Entry from Alexandria via LeMat-Bulk: LaSb3Pt after structural relaxation (GGA-PBE).

Cell lengths 5.951, 5.951, 5.951 Å; angles 90.00, 90.00, 90.00 degrees
Fractional positions:
La  0.000  0.000  0.000
Sb  0.000  0.000  0.500
Sb  0.000  0.500  0.000
Sb  0.500  0.000  0.000
Pt  0.500  0.500  0.500

Calculated values
space group	Pm-3m
formation energy from raw total energies	1.198	eV per atom
total magnetic moment	0.00	Bohr magnetons per cell

=====

Entry 8:
Entry from Alexandria via LeMat-Bulk: LaSbPt2 after structural relaxation (GGA-PBE).

Cell lengths 4.630, 4.891, 4.646 Å; angles 90.00, 111.36, 90.00 degrees
Fractional positions:
La  0.000  0.000  0.000
Sb  0.595  0.500  0.406
Pt  0.239  0.500  0.765
Pt  0.401  0.000  0.597

Calculated values
space group	Pm
formation energy from raw total energies	-0.885	eV per atom
total magnetic moment	0.00	Bohr magnetons per cell

=====

Entry 9:
Entry from Alexandria via LeMat-Bulk: La3SbPt after structural relaxation (GGA-PBE).

Cell lengths 5.634, 5.634, 5.634 Å; angles 90.00, 90.00, 90.00 degrees
Fractional positions:
La  0.000  0.000  0.500
La  0.000  0.500  0.000
La  0.500  0.000  0.000
Sb  0.500  0.500  0.500
Pt  0.000  0.000  0.000

Calculated values
space group	Pm-3m
formation energy from raw total energies	-0.703	eV per atom
energy above the lowest structure with this stoichiometry	0.309	eV/atom
total magnetic moment	0.00	Bohr magnetons per cell

=====

Entry 10:
Entry from Alexandria via LeMat-Bulk: LaSbPt2 after structural relaxation (GGA-PBE).

Cell lengths 4.278, 4.278, 9.621 Å; angles 90.00, 90.00, 90.00 degrees
Fractional positions:
La  0.000  0.000  0.000
La  0.500  0.500  0.500
Sb  0.000  0.500  0.250
Sb  0.500  0.000  0.750
Pt  0.000  0.000  0.500
Pt  0.000  0.500  0.750
Pt  0.500  0.000  0.250
Pt  0.500  0.500  0.000

Calculated values
space group	I-4m2
formation energy from raw total energies	-0.643	eV per atom
total magnetic moment	0.00	Bohr magnetons per cell

=====

Entry 11:
Entry from Alexandria via LeMat-Bulk: LaSb2Pt after structural relaxation (GGA-PBE).

Cell lengths 7.336, 7.336, 7.336 Å; angles 90.00, 90.00, 90.00 degrees
Fractional positions:
La  0.000  0.000  0.000
La  0.000  0.500  0.500
La  0.500  0.000  0.500
La  0.500  0.500  0.000
Sb  0.250  0.250  0.250
Sb  0.250  0.250  0.750
Sb  0.250  0.750  0.250
Sb  0.250  0.750  0.750
Sb  0.750  0.250  0.250
Sb  0.750  0.250  0.750
Sb  0.750  0.750  0.250
Sb  0.750  0.750  0.750
Pt  0.000  0.000  0.500
Pt  0.000  0.500  0.000
Pt  0.500  0.000  0.000
Pt  0.500  0.500  0.500

Calculated values
space group	Fm-3m
formation energy from raw total energies	-0.396	eV per atom
total magnetic moment	0.00	Bohr magnetons per cell

=====

Entry 12:
Entry from Alexandria via LeMat-Bulk: LaSb2Pt2 after structural relaxation (GGA-PBE).

Cell lengths 7.695, 7.695, 3.884 Å; angles 90.00, 90.00, 90.00 degrees
Fractional positions:
La  0.000  0.000  0.000
La  0.500  0.500  0.000
Sb  0.184  0.316  0.500
Sb  0.316  0.816  0.500
Sb  0.684  0.184  0.500
Sb  0.816  0.684  0.500
Pt  0.124  0.624  0.000
Pt  0.376  0.124  0.000
Pt  0.624  0.876  0.000
Pt  0.876  0.376  0.000

Calculated values
space group	P4/mbm
formation energy from raw total energies	-0.621	eV per atom
total magnetic moment	0.00	Bohr magnetons per cell

=====

Q: Which ρ values were calculated for the entries above? A: 9.7 7.8 9.5 8.9 7.7 12.4 5.5 11.0 6.8 12.3 9.7 11.2, in g/cm³.